--- a ---
Material: HfCuRePb
Method: DFT, PBE
State: optimized geometry

```
4
Lattice="2.070 -4.185 -0.012 1.218 -2.014 4.033 -2.317 -3.755 1.528" Properties=species:S:1:pos:R:3 pbc="T T T"
Cu 0.729 -7.465 4.162
Hf 0.486 -4.977 2.774
Pb 0.000 0.000 0.000
Re 0.243 -2.488 1.387
```

---

--- b ---
Material: HfCuRePb
Method: DFT, PBE
State: optimized geometry

```
4
Lattice="2.005 -4.177 -0.730 0.506 -3.012 3.559 -2.593 -3.905 0.154" Properties=species:S:1:pos:R:3 pbc="T T T"
Cu -0.061 -8.321 2.238
Hf -0.020 -2.774 0.746
Pb 0.000 0.000 0.000
Re -0.041 -5.547 1.492
```

---

Short version: a is the most stable of them.

---

--- a ---
Material: HfCuSbPd
Method: DFT, PBE
State: optimized geometry

```
4
Lattice="0.000 3.292 3.292 3.292 0.000 3.292 3.292 3.292 0.000" Properties=species:S:1:pos:R:3 pbc="T T T"
Cu 4.938 4.938 4.938
Hf 3.292 3.292 3.292
Pd 1.646 1.646 1.646
Sb 0.000 0.000 0.000
```

---

--- b ---
Material: HfCuSbPd
Method: DFT, PBE
State: optimized geometry

```
4
Lattice="0.000 3.308 3.308 3.308 0.000 3.308 3.308 3.308 0.000" Properties=species:S:1:pos:R:3 pbc="T T T"
Cu 4.962 4.962 4.962
Hf 1.654 1.654 1.654
Pd 3.308 3.308 3.308
Sb 0.000 0.000 0.000
```

---

Short version: a is the most stable of them.

---

--- a ---
Material: HfCuSiPd
Method: DFT, PBE
State: optimized geometry

```
4
Lattice="0.000 3.152 3.152 3.152 0.000 3.152 3.152 3.152 0.000" Properties=species:S:1:pos:R:3 pbc="T T T"
Cu 4.729 4.729 4.729
Hf 1.576 1.576 1.576
Pd 3.153 3.153 3.153
Si 0.000 0.000 0.000
```

---

--- b ---
Material: HfCuSiPd
Method: DFT, PBE
State: optimized geometry

```
4
Lattice="0.000 3.132 3.132 3.132 0.000 3.132 3.132 3.132 0.000" Properties=species:S:1:pos:R:3 pbc="T T T"
Cu 4.697 4.697 4.697
Hf 3.132 3.132 3.132
Pd 1.566 1.566 1.566
Si 0.000 0.000 0.000
```

---

Short version: b is the most stable of them.

---

--- a ---
Material: PrHfCu
Method: DFT, PBE
State: optimized geometry

```
3
Lattice="1.316 -4.143 1.876 -2.805 -3.790 -0.428 1.272 -3.580 -2.825" Properties=species:S:1:pos:R:3 pbc="T T T"
Cu 0.000 0.000 0.000
Hf -0.054 -2.878 -0.344
Pr -0.162 -8.634 -1.033
```

---

--- b ---
Material: PrHfCu
Method: DFT, PBE
State: optimized geometry

```
3
Lattice="0.000 3.358 3.358 3.358 0.000 3.358 3.358 3.358 0.000" Properties=species:S:1:pos:R:3 pbc="T T T"
Cu 1.679 1.679 1.679
Hf 5.038 5.038 5.038
Pr 0.000 0.000 0.000
```

---

Short version: a is the most stable of them.

---

--- a ---
Material: HfTlCuPt
Method: DFT, PBE
State: optimized geometry

```
4
Lattice="0.000 3.277 3.277 3.277 0.000 3.277 3.277 3.277 0.000" Properties=species:S:1:pos:R:3 pbc="T T T"
Cu 4.916 4.916 4.916
Hf 0.000 0.000 0.000
Pt 3.277 3.277 3.277
Tl 1.639 1.639 1.639
```

---

--- b ---
Material: HfTlCuPt
Method: DFT, PBE
State: optimized geometry

```
4
Lattice="0.000 3.299 3.299 3.299 0.000 3.299 3.299 3.299 0.000" Properties=species:S:1:pos:R:3 pbc="T T T"
Cu 4.948 4.948 4.948
Hf 1.649 1.649 1.649
Pt 3.299 3.299 3.299
Tl 0.000 0.000 0.000
```

---

--- c ---
Material: HfTlCuPt
Method: DFT, PBE
State: optimized geometry

```
4
Lattice="0.642 2.360 3.955 -3.665 1.604 2.371 -1.159 -1.925 4.071" Properties=species:S:1:pos:R:3 pbc="T T T"
Cu -3.136 1.529 7.798
Hf -2.091 1.019 5.199
Pt -1.045 0.510 2.599
Tl 0.000 0.000 0.000
```

---

Short version: c is the most stable of them.

---

--- a ---
Material: YHfCuPt
Method: DFT, PBE
State: optimized geometry

```
4
Lattice="0.000 3.383 3.383 3.383 0.000 3.383 3.383 3.383 0.000" Properties=species:S:1:pos:R:3 pbc="T T T"
Cu 5.075 5.075 5.075
Hf 3.383 3.383 3.383
Pt 1.692 1.692 1.692
Y 0.000 0.000 0.000
```

---

--- b ---
Material: YHfCuPt
Method: DFT, PBE
State: optimized geometry

```
4
Lattice="-2.344 0.377 4.015 -4.223 -1.935 0.426 -0.586 -3.745 2.719" Properties=species:S:1:pos:R:3 pbc="T T T"
Cu -5.366 -3.977 5.370
Hf -1.789 -1.326 1.790
Pt -3.577 -2.651 3.580
Y 0.000 0.000 0.000
```

---

Short version: a is the most stable of them.

---

--- a ---
Material: HfTlCuRe
Method: DFT, PBE
State: optimized geometry

```
4
Lattice="0.000 3.288 3.288 3.288 0.000 3.288 3.288 3.288 0.000" Properties=species:S:1:pos:R:3 pbc="T T T"
Cu 4.932 4.932 4.932
Hf 3.288 3.288 3.288
Re 1.644 1.644 1.644
Tl 0.000 0.000 0.000
```

---

--- b ---
Material: HfTlCuRe
Method: DFT, PBE
State: optimized geometry

```
4
Lattice="-0.538 -1.566 4.364 -4.142 -1.637 1.398 -0.559 -4.566 0.789" Properties=species:S:1:pos:R:3 pbc="T T T"
Cu -3.929 -5.826 4.914
Hf -1.310 -1.942 1.638
Re -2.620 -3.884 3.276
Tl 0.000 0.000 0.000
```

---

Short version: a is the most stable of them.

---

--- a ---
Material: HfCuReW
Method: DFT, PBE
State: optimized geometry

```
4
Lattice="-2.227 -3.161 -2.279 -3.378 -2.216 1.955 -4.227 0.740 -1.314" Properties=species:S:1:pos:R:3 pbc="T T T"
Cu -7.375 -3.478 -1.228
Hf -4.916 -2.318 -0.819
Re -2.458 -1.159 -0.409
W 0.000 0.000 0.000
```

---

--- b ---
Material: HfCuReW
Method: DFT, PBE
State: optimized geometry

```
4
Lattice="0.000 3.162 3.162 3.162 0.000 3.162 3.162 3.162 0.000" Properties=species:S:1:pos:R:3 pbc="T T T"
Cu 4.743 4.743 4.743
Hf 0.000 0.000 0.000
Re 3.162 3.162 3.162
W 1.581 1.581 1.581
```

---

Short version: a is the most stable of them.